# CsSrMnO4 | Alexandria via LeMat-Bulk | GGA+U | relaxed
# ρ	4.0	g/cm3
# spin magnetization	2.0	μB per formula unit
# crystal system	monoclinic
# Fermi-level density of states	0.000	states/eV per cell
# uncorrected energy	-6.07	eV per atom
# SG	P2_1/m (11)
data_CsSrMnO4
_symmetry_space_group_name_H-M 'P 1'
_symmetry_Int_Tables_number 1
_cell_length_a 6.0976
_cell_length_b 6.0291
_cell_length_c 8.0670
_cell_angle_alpha 90.00
_cell_angle_beta 106.70
_cell_angle_gamma 90.00
loop_
_symmetry_equiv_pos_as_xyz
'x,y,z'
loop_
_atom_site_label
_atom_site_fract_x
_atom_site_fract_y
_atom_site_fract_z
_atom_site_occupancy
Cs1 0.2078 0.2500 0.4300 1
Cs2 0.7922 0.7500 0.5700 1
Sr1 0.2771 0.2500 0.9537 1
Sr2 0.7229 0.7500 0.0463 1
Mn1 0.2677 0.7500 0.1661 1
Mn2 0.7323 0.2500 0.8339 1
O1 0.0948 0.7500 0.3001 1
O2 0.0963 0.7500 0.9568 1
O3 0.4497 0.5247 0.1914 1
O4 0.4497 0.9753 0.1914 1
O5 0.5503 0.0247 0.8086 1
O6 0.5503 0.4753 0.8086 1
O7 0.9037 0.2500 0.0432 1
O8 0.9052 0.2500 0.6999 1